# SbSe2OF, single point on PBEsol structure, DFT meta-GGA SCAN
data_SbSe2OF
_chemical_formula_sum 'Sb1 Se2 O1 F1'
_space_group_name_H-M_alt 'P 1'
_space_group_IT_number 1
_cell_length_a 4.282
_cell_length_b 4.282
_cell_length_c 4.788
_cell_angle_alpha 90.00
_cell_angle_beta 90.00
_cell_angle_gamma 90.00
loop_
_space_group_symop_operation_xyz
'x,y,z'
loop_
_atom_site_label
_atom_site_type_symbol
_atom_site_fract_x
_atom_site_fract_y
_atom_site_fract_z
Sb1 Sb 0.000 0.000 0.500
O1 O 0.000 0.000 0.000
Se1 Se 0.000 0.500 0.000
Se2 Se 0.500 0.000 0.000
F1 F 0.500 0.500 0.500
# energy = -17.362 eV per atom
# magnetic moment = 0.000 μB/atom